1.
TbSm3Dy2S6: optimized geometry, PBE.

Symmetry = C2/m, No. 12
Energy = -6.4130 eV/atom
Formation energy (no corrections) = -24.200 eV/f.u.

```
TbSm3Dy2S6
1.0
6.852 -0.012 -0.001
-3.435 5.929 -0.001
-1.141 -1.975 6.492
S Tb Dy Sm
6 1 2 3
direct
0.254 0.254 0.760 S
0.746 0.746 0.240 S
0.080 0.415 0.241 S
0.920 0.585 0.759 S
0.415 0.080 0.241 S
0.585 0.920 0.759 S
0.000 0.000 0.000 Tb
0.333 0.667 0.000 Dy
0.667 0.333 0.000 Dy
0.166 0.834 0.500 Sm
0.500 0.500 0.500 Sm
0.834 0.166 0.500 Sm
```

---

2.
SmDyTe2S: optimized geometry, PBE.

Symmetry = P4/nmm, No. 129
Energy = -5.4290 eV/atom
Formation energy (no corrections) = -7.413 eV/f.u.

```
SmDyTe2S
1.0
4.429 0.000 0.000
0.000 4.429 0.000
0.000 0.000 15.705
Te S Dy Sm
4 2 2 2
direct
0.500 0.000 0.298 Te
0.000 0.500 0.702 Te
0.000 0.500 0.092 Te
0.500 0.000 0.908 Te
0.500 0.500 0.500 S
0.000 0.000 0.500 S
0.500 0.000 0.113 Dy
0.000 0.500 0.887 Dy
0.000 0.500 0.397 Sm
0.500 0.000 0.603 Sm
```

---

3.
SmDy3Th4S8: optimized geometry, PBE.

Symmetry = R-3m, No. 166
Energy = -6.9934 eV/atom
Formation energy (no corrections) = -30.670 eV/f.u.

```
SmDy3Th4S8
1.0
7.845 0.000 0.000
0.000 8.101 0.174
-3.922 -3.918 5.551
Dy S Th Sm
3 8 4 1
direct
0.000 0.500 0.500 Dy
0.500 0.500 0.000 Dy
0.500 0.500 0.500 Dy
0.745 0.734 0.489 S
0.741 0.737 0.989 S
0.248 0.737 0.495 S
0.255 0.266 0.511 S
0.752 0.263 0.505 S
0.259 0.263 0.011 S
0.248 0.737 0.989 S
0.752 0.263 0.011 S
0.500 0.000 0.500 Th
0.000 0.000 0.000 Th
0.000 0.000 0.500 Th
0.500 0.000 0.000 Th
0.000 0.500 0.000 Sm
```

---

What is the formula in the third record? SmDy3Th4S8

---

What is the formation energy (no corrections) in the second record? -7.413 eV/f.u.

---

Among the records above, which one has the highest formation energy (no corrections)? SmDyTe2S